Below is NaSnP2 after structural relaxation, with properties calculated at the PBE-GGA level.

Summary:
As for the density of states at the Fermi level: 0.81 states/eV per atom. The formation energy is 0.07 eV/atom.

a = 7.283 Å, b = 7.283 Å, c = 7.232 Å
α = 90.00°, β = 90.00°, γ = 90.00°
Positions (direct):
1 Na 0.000 0.000 0.000
2 Na 0.000 0.500 0.250
3 Na 0.500 0.000 0.750
4 Na 0.500 0.500 0.500
5 Sn 0.000 0.000 0.500
6 Sn 0.000 0.500 0.750
7 Sn 0.500 0.000 0.250
8 Sn 0.500 0.500 0.000
9 P 0.209 0.250 0.625
10 P 0.250 0.709 0.875
11 P 0.250 0.791 0.375
12 P 0.291 0.250 0.125
13 P 0.709 0.750 0.125
14 P 0.750 0.209 0.375
15 P 0.750 0.291 0.875
16 P 0.791 0.750 0.625


Below is Nd2SmMg after structural relaxation, with properties calculated at the PBE-GGA level.

Summary:
As for the density of states at the Fermi level: 1.27 states/eV per atom. The formation energy is 0.04 eV/atom.

a = 3.602 Å, b = 3.602 Å, c = 34.742 Å
α = 90.00°, β = 90.00°, γ = 120.00°
Positions (direct):
1 Nd 0.000 0.000 0.000
2 Nd 0.000 0.000 0.162
3 Nd 0.333 0.667 0.667
4 Nd 0.333 0.667 0.829
5 Nd 0.667 0.333 0.333
6 Nd 0.667 0.333 0.495
7 Sm 0.000 0.000 0.582
8 Sm 0.333 0.667 0.248
9 Sm 0.667 0.333 0.915
10 Mg 0.000 0.000 0.414
11 Mg 0.333 0.667 0.081
12 Mg 0.667 0.333 0.748


Below is Ca2Ti2Cl after structural relaxation, with properties calculated at the PBE-GGA level.

Summary:
As for the density of states at the Fermi level: 1.28 states/eV per atom. The value obtained for the raw formation energy is 17.79 kcal/mol of atoms.

a = 4.578 Å, b = 4.578 Å, c = 14.060 Å
α = 90.00°, β = 90.00°, γ = 90.00°
Positions (direct):
1 Ca 0.000 0.500 0.250
2 Ca 0.000 0.500 0.750
3 Ca 0.500 0.000 0.250
4 Ca 0.500 0.000 0.750
5 Ti 0.000 0.000 0.070
6 Ti 0.000 0.000 0.930
7 Ti 0.500 0.500 0.430
8 Ti 0.500 0.500 0.570
9 Cl 0.000 0.000 0.500
10 Cl 0.500 0.500 0.000


Below is Sm2ZnGa4Ni3 after structural relaxation, with properties calculated at the PBE-GGA level.

Summary:
As for the density of states at the Fermi level: 0.74 states/eV per atom. The formation energy is -0.55 eV/atom.

a = 4.119 Å, b = 4.119 Å, c = 10.238 Å
α = 90.00°, β = 90.00°, γ = 90.00°
Positions (direct):
1 Sm 0.000 0.500 0.242
2 Sm 0.500 0.000 0.758
3 Zn 0.000 0.000 0.500
4 Ga 0.000 0.000 0.000
5 Ga 0.000 0.500 0.639
6 Ga 0.500 0.000 0.361
7 Ga 0.500 0.500 0.000
8 Ni 0.000 0.500 0.871
9 Ni 0.500 0.000 0.129
10 Ni 0.500 0.500 0.500


Below is Pa2PdS after structural relaxation, with properties calculated at the PBE-GGA level.

Summary:
As for the density of states at the Fermi level: 0.92 states/eV per atom. The value obtained for the raw formation energy is -11.42 kcal/mol of atoms.

a = 3.309 Å, b = 3.309 Å, c = 27.871 Å
α = 90.00°, β = 90.00°, γ = 120.00°
Positions (direct):
1 Pa 0.000 0.000 0.095
2 Pa 0.000 0.000 0.905
3 Pa 0.333 0.667 0.571
4 Pa 0.333 0.667 0.762
5 Pa 0.667 0.333 0.238
6 Pa 0.667 0.333 0.429
7 Pd 0.000 0.000 0.000
8 Pd 0.333 0.667 0.667
9 Pd 0.667 0.333 0.333
10 S 0.000 0.000 0.500
11 S 0.333 0.667 0.167
12 S 0.667 0.333 0.833


Below is TbHo2MgTl4 after structural relaxation, with properties calculated at the PBE-GGA level.

Summary:
As for the density of states at the Fermi level: 0.52 states/eV per atom. The formation energy is -0.28 eV/atom.

a = 9.402 Å, b = 9.402 Å, c = 9.402 Å
α = 32.42°, β = 32.42°, γ = 32.42°
Positions (direct):
1 Tb 0.000 0.000 0.000
2 Ho 0.244 0.244 0.244
3 Ho 0.756 0.756 0.756
4 Mg 0.500 0.500 0.500
5 Tl 0.125 0.125 0.125
6 Tl 0.376 0.376 0.376
7 Tl 0.624 0.624 0.624
8 Tl 0.875 0.875 0.875


Below is PmZn2Rh after structural relaxation, with properties calculated at the PBE-GGA level.

Summary:
As for the density of states at the Fermi level: 0.61 states/eV per atom. The formation energy is -0.54 eV/atom.

a = 4.288 Å, b = 9.844 Å, c = 7.174 Å
α = 90.00°, β = 90.00°, γ = 90.00°
Positions (direct):
1 Pm 0.000 0.074 0.250
2 Pm 0.000 0.926 0.750
3 Pm 0.500 0.426 0.750
4 Pm 0.500 0.574 0.250
5 Zn 0.000 0.361 0.058
6 Zn 0.000 0.361 0.442
7 Zn 0.000 0.639 0.558
8 Zn 0.000 0.639 0.942
9 Zn 0.500 0.139 0.558
10 Zn 0.500 0.139 0.942
11 Zn 0.500 0.861 0.058
12 Zn 0.500 0.861 0.442
13 Rh 0.000 0.210 0.750
14 Rh 0.000 0.790 0.250
15 Rh 0.500 0.290 0.250
16 Rh 0.500 0.710 0.750


Below is La4Mg after structural relaxation, with properties calculated at the PBE-GGA level.

Summary:
As for the density of states at the Fermi level: 1.58 states/eV per atom. The formation energy is 0.00 eV/atom.

a = 6.855 Å, b = 5.777 Å, c = 9.988 Å
α = 90.00°, β = 118.85°, γ = 90.00°
Positions (direct):
1 La 0.055 0.002 0.185
2 La 0.055 0.498 0.685
3 La 0.317 0.501 0.106
4 La 0.317 0.999 0.606
5 La 0.683 0.001 0.394
6 La 0.683 0.499 0.894
7 La 0.945 0.502 0.315
8 La 0.945 0.998 0.815
9 Mg 0.500 0.000 0.000
10 Mg 0.500 0.500 0.500


Below is TbPmNiAu after structural relaxation, with properties calculated at the PBE-GGA level.

Summary:
As for the density of states at the Fermi level: 0.68 states/eV per atom. The formation energy is -0.53 eV/atom.

a = 7.124 Å, b = 7.124 Å, c = 7.124 Å
α = 90.00°, β = 90.00°, γ = 90.00°
Positions (direct):
1 Tb 0.000 0.000 0.000
2 Tb 0.000 0.500 0.500
3 Tb 0.500 0.000 0.500
4 Tb 0.500 0.500 0.000
5 Pm 0.000 0.000 0.500
6 Pm 0.000 0.500 0.000
7 Pm 0.500 0.000 0.000
8 Pm 0.500 0.500 0.500
9 Ni 0.250 0.250 0.250
10 Ni 0.250 0.750 0.750
11 Ni 0.750 0.250 0.750
12 Ni 0.750 0.750 0.250
13 Au 0.250 0.250 0.750
14 Au 0.250 0.750 0.250
15 Au 0.750 0.250 0.250
16 Au 0.750 0.750 0.750


Below is GaSeS2 after structural relaxation, with properties calculated at the PBE-GGA level.

Summary:
As for the density of states at the Fermi level: 0.16 states/eV per atom. The value obtained for the raw formation energy is -3.76 kcal/mol of atoms.

a = 3.642 Å, b = 5.056 Å, c = 11.202 Å
α = 98.43°, β = 94.49°, γ = 105.88°
Positions (direct):
1 Ga 0.169 0.291 0.239
2 Ga 0.831 0.709 0.761
3 Se 0.132 0.247 0.016
4 Se 0.868 0.753 0.984
5 S 0.246 0.428 0.663
6 S 0.323 0.011 0.696
7 S 0.677 0.989 0.304
8 S 0.754 0.572 0.337


Below is Pr4C2Cl after structural relaxation, with properties calculated at the PBE-GGA level.

Summary:
As for the density of states at the Fermi level: 0.70 states/eV per atom. The value obtained for the raw formation energy is -13.62 kcal/mol of atoms.

a = 14.209 Å, b = 14.209 Å, c = 14.209 Å
α = 15.22°, β = 15.22°, γ = 15.22°
Positions (direct):
1 Pr 0.121 0.121 0.121
2 Pr 0.280 0.280 0.280
3 Pr 0.720 0.720 0.720
4 Pr 0.879 0.879 0.879
5 C 0.420 0.420 0.420
6 C 0.580 0.580 0.580
7 Cl 0.000 0.000 0.000


Below is PuSiNi after structural relaxation, with properties calculated at the PBE-GGA level.

Summary:
As for the density of states at the Fermi level: 3.85 states/eV per atom. The value obtained for the raw formation energy is -11.06 kcal/mol of atoms.

a = 4.054 Å, b = 4.054 Å, c = 3.800 Å
α = 90.00°, β = 90.00°, γ = 120.00°
Positions (direct):
1 Pu 0.000 0.000 0.000
2 Si 0.667 0.333 0.500
3 Ni 0.333 0.667 0.500